[1]
Entry from the Alexandria database: Sc3VAg3S8 after structural relaxation (PBE).

The structure in extended XYZ format:
```
15
Lattice="6.3580 -3.6695 0.0000 6.3580 3.6695 0.0000 -4.2792 0.0000 6.5128" Properties=species:S:1:pos:R:3 pbc="T T T"
Sc 0.0000 0.0000 0.0000
Sc 3.1790 1.8347 0.0000
Sc 3.1790 -1.8347 0.0000
V 6.3580 0.0000 0.0000
Ag 1.0394 1.8347 3.2564
Ag 1.0394 -1.8347 3.2564
Ag 4.2184 0.0000 3.2564
S 2.1194 0.0000 1.4751
S 5.3585 1.7302 1.3930
S 0.0798 0.0000 5.1206
S 3.0782 1.7302 5.1199
S 5.3585 -1.7302 1.3930
S 8.3569 0.0000 1.3923
S 3.0782 -1.7302 5.1199
S 6.3174 0.0000 5.0377
```

Raw formation energy (eV/atom): -1.06
M_tot (μB per atom): 0.066
Calculated density (g/cm³): 4.19


[2]
Entry from the Alexandria database: GdLu3H after structural relaxation (PBE).

The structure in extended XYZ format:
```
5
Lattice="4.8907 0.0000 0.0000 0.0000 4.8907 0.0000 0.0000 0.0000 4.8907" Properties=species:S:1:pos:R:3 pbc="T T T"
Gd 0.0000 0.0000 0.0000
Lu 0.0000 2.4454 2.4454
Lu 2.4454 0.0000 2.4454
Lu 2.4454 2.4454 0.0000
H 2.4454 2.4454 2.4454
```

Calculated total energy (eV per atom): -6.344
M_tot (μB per atom): 1.416
Calculated density (g/cm³): 9.70


[3]
Entry from the Alexandria database: Tm4TeIr after structural relaxation (PBE).

The structure in extended XYZ format:
```
12
Lattice="9.6994 -2.6726 0.0000 9.6994 2.6726 0.0000 -4.1503 0.0000 8.5804" Properties=species:S:1:pos:R:3 pbc="T T T"
Tm -0.2240 0.0000 1.7301
Tm 0.1753 0.0000 7.6295
Tm 3.4334 0.0000 2.6565
Tm 3.5988 0.0000 8.4278
Tm 11.6496 0.0000 0.1526
Tm 11.8150 0.0000 5.9239
Tm 15.0731 0.0000 0.9508
Tm 15.4724 0.0000 6.8503
Te 1.0108 0.0000 4.6397
Te 14.2376 0.0000 3.9407
Ir 2.0257 0.0000 0.3545
Ir 13.2227 0.0000 8.2259
```

Raw formation energy (eV/atom): -0.55
M_tot (μB per atom): 0.000
Calculated density (g/cm³): 7.43